(1)
A plane-wave DFT calculation with PBE-GGA was carried out for a geometry-optimized Cu2ReOs structure. Values from VASP.

```
&SYSTEM
  ibrav = 0, nat = 4, ntyp = 3
/
ATOMIC_SPECIES
Cu 63.55 Cu.upf
Re 186.21 Re.upf
Os 190.23 Os.upf
CELL_PARAMETERS angstrom
2.785 0.000 0.000
0.000 4.423 0.000
0.000 0.000 4.484
ATOMIC_POSITIONS angstrom
Cu 0.000 0.000 0.000
Cu 1.392 2.211 0.000
Re 0.000 2.211 2.242
Os 1.392 0.000 2.242
```

Values from the calculation:
density of states at the Fermi level: 0.7971 states/eV per atom
energy of formation: 0.43 eV per atom
VASP energy: -7.539 eV/atom
density: 15.14 g cm⁻³
V: 55.2 Å³/cell

(2)
A plane-wave DFT calculation with PBE-GGA was carried out for a geometry-optimized Cu2ReOs structure. Values from VASP.

```
&SYSTEM
  ibrav = 0, nat = 4, ntyp = 3
/
ATOMIC_SPECIES
Cu 63.55 Cu.upf
Re 186.21 Re.upf
Os 190.23 Os.upf
CELL_PARAMETERS angstrom
-1.834 1.834 4.026
1.834 -1.834 4.026
1.834 1.834 -4.026
ATOMIC_POSITIONS angstrom
Cu 1.834 0.000 2.013
Cu 0.000 1.834 2.013
Re 0.000 0.000 0.000
Os 0.000 0.000 4.026
```

Values from the calculation:
density of states at the Fermi level: 1.1409 states/eV per atom
energy of formation: 0.46 eV per atom
VASP energy: -7.511 eV/atom
density: 15.44 g cm⁻³
V: 54.2 Å³/cell

(3)
A plane-wave DFT calculation with PBE-GGA was carried out for a geometry-optimized Cu2ReOs structure. Values from VASP.

```
&SYSTEM
  ibrav = 0, nat = 4, ntyp = 3
/
ATOMIC_SPECIES
Cu 63.55 Cu.upf
Re 186.21 Re.upf
Os 190.23 Os.upf
CELL_PARAMETERS angstrom
1.404 -2.249 0.000
1.404 2.249 0.000
0.000 0.000 8.841
ATOMIC_POSITIONS angstrom
Cu 0.000 0.000 0.000
Cu 1.404 0.000 2.062
Re 1.404 0.000 6.564
Os 0.000 0.000 4.342
```

Values from the calculation:
density of states at the Fermi level: 0.8988 states/eV per atom
energy of formation: 0.37 eV per atom
VASP energy: -7.599 eV/atom
density: 14.97 g cm⁻³
V: 55.9 Å³/cell

(4)
A plane-wave DFT calculation with PBE-GGA was carried out for a geometry-optimized Cu2ReOs structure. Values from VASP.

```
&SYSTEM
  ibrav = 0, nat = 4, ntyp = 3
/
ATOMIC_SPECIES
Cu 63.55 Cu.upf
Re 186.21 Re.upf
Os 190.23 Os.upf
CELL_PARAMETERS angstrom
2.735 0.000 0.000
0.000 3.780 0.000
-0.009 0.000 5.281
ATOMIC_POSITIONS angstrom
Cu 0.000 0.000 0.000
Cu 1.355 1.890 4.154
Re 2.718 0.000 2.659
Os 1.368 1.890 1.500
```

Values from the calculation:
density of states at the Fermi level: 0.8843 states/eV per atom
energy of formation: 0.22 eV per atom
VASP energy: -7.747 eV/atom
density: 15.32 g cm⁻³
V: 54.6 Å³/cell

(5)
A plane-wave DFT calculation with PBE-GGA was carried out for a geometry-optimized CuRe4Os structure. Values from VASP.

```
&SYSTEM
  ibrav = 0, nat = 6, ntyp = 3
/
ATOMIC_SPECIES
Cu 63.55 Cu.upf
Re 186.21 Re.upf
Os 190.23 Os.upf
CELL_PARAMETERS angstrom
0.000 3.616 3.616
3.616 0.000 3.616
3.616 3.616 0.000
ATOMIC_POSITIONS angstrom
Cu 0.000 0.000 0.000
Re 4.527 2.706 2.706
Re 2.706 4.527 2.706
Re 2.706 2.706 4.527
Re 4.527 4.527 4.527
Os 1.808 1.808 1.808
```

Values from the calculation:
density of states at the Fermi level: 0.7056 states/eV per atom
energy of formation: 0.65 eV per atom
VASP energy: -10.206 eV/atom
density: 17.53 g cm⁻³
V: 94.6 Å³/cell

(6)
A plane-wave DFT calculation with PBE-GGA was carried out for a geometry-optimized Cu2ReOs structure. Values from VASP.

```
&SYSTEM
  ibrav = 0, nat = 4, ntyp = 3
/
ATOMIC_SPECIES
Cu 63.55 Cu.upf
Re 186.21 Re.upf
Os 190.23 Os.upf
CELL_PARAMETERS angstrom
1.373 -2.237 0.000
1.373 2.237 0.000
0.000 0.000 9.006
ATOMIC_POSITIONS angstrom
Cu 0.000 0.000 2.255
Cu 0.000 0.000 6.751
Re 1.373 0.000 0.000
Os 1.373 0.000 4.503
```

Values from the calculation:
density of states at the Fermi level: 0.6698 states/eV per atom
energy of formation: 0.44 eV per atom
VASP energy: -7.529 eV/atom
density: 15.12 g cm⁻³
V: 55.3 Å³/cell